This record from Alexandria describes a geometry-optimized MnCr2PtN structure. The functional is PBE.

The structure in CIF format:
```
data_MnCr2PtN
_chemical_formula_sum 'Mn1 Cr2 Pt1 N1'
_cell_length_a 3.832
_cell_length_b 3.832
_cell_length_c 3.796
_cell_angle_alpha 90.00
_cell_angle_beta 90.00
_cell_angle_gamma 90.00
_space_group_name_H-M_alt 'P 4/m m m'
_space_group_IT_number 123
_space_group_name_Hall '-P 4 2'
loop_
_atom_site_label
_atom_site_type_symbol
_atom_site_fract_x
_atom_site_fract_y
_atom_site_fract_z
Mn1 Mn 0.000 0.000 0.000
Cr1 Cr 0.000 0.500 0.500
Pt1 Pt 0.500 0.500 0.000
N1 N 0.000 0.000 0.500
```

The uncorrected formation energy comes out at -303 meV/atom. For the total magnetization, the calculation gives 0.0 μB/f.u.